Version 1
5
Lattice="4.982 0.000 0.000 0.000 4.982 0.000 0.000 0.000 4.982" Properties=species:S:1:pos:R:3 comment="KBe3As | Alexandria | PBE-GGA | relaxed" n_ef_per_ev_atom=0.597 pbc="T T T"
K 0.000 0.000 0.000
Be 0.000 0.000 2.491
Be 0.000 2.491 0.000
Be 2.491 0.000 0.000
As 2.491 2.491 2.491

=====

Version 2
5
Lattice="4.653 0.000 0.000 0.000 4.653 0.000 0.000 0.000 4.653" Properties=species:S:1:pos:R:3 comment="KBe3As | Alexandria | PBE-GGA | relaxed" n_ef_per_ev_atom=0.793 pbc="T T T"
K 0.000 0.000 0.000
Be 0.000 2.326 2.326
Be 2.326 0.000 2.326
Be 2.326 2.326 0.000
As 2.326 2.326 2.326

=====

Energy relative to the most stable one, in meV/atom: version 1 1441; version 2 0

=====

Version 1
5
Lattice="4.670 0.000 0.000 0.000 4.670 0.000 0.000 0.000 4.670" Properties=species:S:1:pos:R:3 comment="LaBeAs3 | Alexandria | PBE-GGA | relaxed" n_ef_per_ev_atom=0.591 pbc="T T T"
La 0.000 0.000 0.000
Be 2.335 2.335 2.335
As 0.000 2.335 2.335
As 2.335 0.000 2.335
As 2.335 2.335 0.000

=====

Version 2
5
Lattice="5.648 0.000 0.000 0.000 5.648 0.000 0.000 0.000 5.648" Properties=species:S:1:pos:R:3 comment="LaBeAs3 | Alexandria | PBE-GGA | relaxed" n_ef_per_ev_atom=0.965 pbc="T T T"
La 0.000 0.000 0.000
Be 2.824 2.824 2.824
As 0.000 0.000 2.824
As 0.000 2.824 0.000
As 2.824 0.000 0.000

=====

Energy relative to the most stable one, in meV/atom: version 1 0; version 2 1517

=====

Version 1
5
Lattice="5.790 0.000 0.000 0.000 5.790 0.000 0.000 0.000 5.654" Properties=species:S:1:pos:R:3 comment="LaBeAs2Se | Alexandria | PBE-GGA | relaxed" n_ef_per_ev_atom=1.244 pbc="T T T"
La 0.000 0.000 0.000
Be 2.895 2.895 2.827
As 0.000 2.895 0.000
As 2.895 0.000 0.000
Se 0.000 0.000 2.827

=====

Version 2
5
Lattice="4.389 0.000 0.000 0.000 4.389 0.000 0.000 0.000 5.625" Properties=species:S:1:pos:R:3 comment="LaBeAs2Se | Alexandria | PBE-GGA | relaxed" n_ef_per_ev_atom=0.651 pbc="T T T"
La 0.000 0.000 0.000
Be 2.194 2.194 2.812
As 0.000 2.194 2.812
As 2.194 0.000 2.812
Se 2.194 2.194 0.000

=====

Energy relative to the most stable one, in meV/atom: version 1 1419; version 2 0

=====

Version 1
8
Lattice="-2.330 2.330 7.127 2.330 -2.330 7.127 2.330 2.330 -7.127" Properties=species:S:1:pos:R:3 comment="LiBeAs2 | Alexandria | PBE-GGA | relaxed" n_ef_per_ev_atom=0.185 pbc="T T T"
Li 0.000 0.000 0.000
Li 0.000 2.330 3.563
Be 2.330 0.000 3.563
Be 0.000 0.000 7.127
As 1.165 -0.657 5.345
As 1.673 1.165 1.782
As 1.165 2.988 -1.782
As 0.657 1.165 8.908

=====

Version 2
4
Lattice="-1.818 1.818 4.528 1.818 -1.818 4.528 1.818 1.818 -4.528" Properties=species:S:1:pos:R:3 comment="LiBeAs2 | Alexandria | PBE-GGA | relaxed" n_ef_per_ev_atom=0.374 pbc="T T T"
Li 0.000 0.000 0.000
Be 0.000 1.818 2.264
As 1.818 0.000 2.264
As 0.000 0.000 4.528

=====

Energy relative to the most stable one, in meV/atom: version 1 0; version 2 220